Entry 1:
CoAgTeO: optimized geometry, GGA+U.

Output
Distance to the lowest polymorph of the same formula in meV/atom: 776
Symmetry: P4/nmm

Cell: 3.9252 3.9252 10.3273 Å, 90.00 90.00 90.00°
Closest atoms and distances in Å follow each position.
Atoms (fractional coordinates):
Ag 0.2500 0.2500 0.4185  4 O 2.14
Ag 0.7500 0.7500 0.5815  4 O 2.14
O 0.2500 0.7500 0.5000  4 Ag 2.14
O 0.7500 0.2500 0.5000  4 Ag 2.14
Co 0.7500 0.7500 0.1061  5 Te 2.58-2.80
Co 0.2500 0.2500 0.8939  5 Te 2.58-2.80
Te 0.7500 0.7500 0.8561  5 Co 2.58-2.80, 1 Ag 2.84
Te 0.2500 0.2500 0.1439  5 Co 2.58-2.80, 1 Ag 2.84

Entry 2:
CoAgTeO: optimized geometry, GGA+U.

Output
Distance to the lowest polymorph of the same formula in meV/atom: 97
Symmetry: P6_3mc

Cell: 3.3613 3.3615 14.5089 Å, 90.00 90.00 120.00°
Closest atoms and distances in Å follow each position.
Atoms (fractional coordinates):
Co 0.6667 0.3334 0.7797  3 O 2.02
Co 0.3333 0.6666 0.2797  3 O 2.02
Te 0.6667 0.3334 0.1204  3 Ag 2.92, 3 Co 3.02
Te 0.3333 0.6666 0.6204  3 Ag 2.92, 3 Co 3.02
O 0.0000 0.0000 0.8177  3 Co 2.02, 1 Ag 2.21
O 0.0000 0.0000 0.3177  3 Co 2.02, 1 Ag 2.21
Ag 0.0000 0.0000 0.4700  1 O 2.21
Ag 0.0000 0.0000 0.9700  1 O 2.21

Entry 3:
CoAgTeO: optimized geometry, GGA+U.

Output
Distance to the lowest polymorph of the same formula in meV/atom: 136
Symmetry: Pnma

Cell: 5.9063 3.8393 13.4193 Å, 90.00 90.00 90.00°
Closest atoms and distances in Å follow each position.
Atoms (fractional coordinates):
Ag 0.7317 0.2500 0.9081  2 O 2.36
Ag 0.7683 0.7500 0.4081  2 O 2.36
Ag 0.2683 0.7500 0.0919  2 O 2.36
Ag 0.2317 0.2500 0.5919  2 O 2.36
Te 0.2179 0.2500 0.9252  2 Co 2.64, 1 Ag 2.88
Te 0.2821 0.7500 0.4252  2 Co 2.64, 1 Ag 2.88
Te 0.7821 0.7500 0.0748  2 Co 2.64, 1 Ag 2.88
Te 0.7179 0.2500 0.5748  2 Co 2.64, 1 Ag 2.88
Co 0.8488 0.7500 0.6971  2 O 1.85-1.89
Co 0.6512 0.2500 0.1971  2 O 1.85-1.89
Co 0.1512 0.2500 0.3029  2 O 1.85-1.89
Co 0.3488 0.7500 0.8029  2 O 1.85-1.89
O 0.6693 0.7500 0.8097  2 Co 1.85-1.89
O 0.8307 0.2500 0.3097  2 Co 1.85-1.89
O 0.1693 0.7500 0.6903  2 Co 1.85-1.89
O 0.3307 0.2500 0.1903  2 Co 1.85-1.89

Entry 4:
CoAgTeO: optimized geometry, GGA+U.

Output
Distance to the lowest polymorph of the same formula in meV/atom: 131
Symmetry: P2_12_12_1

Cell: 5.8597 6.9845 7.5223 Å, 90.00 90.00 90.00°
Closest atoms and distances in Å follow each position.
Atoms (fractional coordinates):
Te 0.8151 0.5198 0.3181  2 Co 2.74, 1 Ag 2.91
Te 0.3151 0.4802 0.1819  2 Co 2.74, 1 Ag 2.91
Te 0.6849 0.0198 0.6819  2 Co 2.74, 1 Ag 2.91
Te 0.1849 0.9802 0.8181  2 Co 2.74, 1 Ag 2.91
Co 0.3083 0.0893 0.1544  2 O 1.90-1.92
Co 0.1917 0.5893 0.8456  2 O 1.90-1.92
Co 0.8083 0.9107 0.3456  2 O 1.90-1.92
Co 0.6917 0.4107 0.6544  2 O 1.90-1.92
Ag 0.6881 0.7409 0.9695  2 O 2.27-2.32
Ag 0.1881 0.2591 0.5305  2 O 2.27-2.32
Ag 0.3119 0.7591 0.4695  2 O 2.27-2.32
Ag 0.8119 0.2409 0.0305  2 O 2.27-2.32
O 0.8836 0.4957 0.8417  2 Co 1.90-1.92
O 0.1164 0.0043 0.3417  2 Co 1.90-1.92
O 0.3836 0.5043 0.6583  2 Co 1.90-1.92
O 0.6164 0.9957 0.1583  2 Co 1.90-1.92

Entry 5:
CoAgTeO: optimized geometry, GGA+U.

Output
Distance to the lowest polymorph of the same formula in meV/atom: 422
Symmetry: P4/nmm

Cell: 5.0469 5.0469 6.5521 Å, 90.00 90.00 90.00°
Closest atoms and distances in Å follow each position.
Atoms (fractional coordinates):
Ag 0.2500 0.2500 0.7568  1 O 2.10
Ag 0.7500 0.7500 0.2432  1 O 2.10
O 0.2500 0.2500 0.0773  1 Co 1.68
O 0.7500 0.7500 0.9227  1 Co 1.68
Te 0.7500 0.2500 0.5000  4 Co 2.75, 4 Ag 3.03
Te 0.2500 0.7500 0.5000  4 Co 2.75, 4 Ag 3.03
Co 0.2500 0.2500 0.3344  1 O 1.68
Co 0.7500 0.7500 0.6656  1 O 1.68

Entry 6:
CoAgTeO: optimized geometry, GGA+U.

Output
Distance to the lowest polymorph of the same formula in meV/atom: 314
Symmetry: Pbca

Cell: 6.9834 11.9450 7.0538 Å, 90.00 90.00 90.00°
Closest atoms and distances in Å follow each position.
Atoms (fractional coordinates):
Ag 0.5163 0.7556 0.7377  2 O 2.16-2.19
Ag 0.9837 0.2556 0.7377  2 O 2.16-2.19
Ag 0.4837 0.2444 0.2623  2 O 2.16-2.19
Ag 0.0163 0.7444 0.2623  2 O 2.16-2.19
Ag 0.0163 0.7556 0.7623  2 O 2.16-2.19
Ag 0.4837 0.2556 0.7623  2 O 2.16-2.19
Ag 0.5163 0.7444 0.2377  2 O 2.16-2.19
Ag 0.9837 0.2444 0.2377  2 O 2.16-2.19
Te 0.5069 0.9976 0.2513  4 Co 2.71-2.87, 2 Ag 2.95-3.03
Te 0.0069 0.9976 0.2487  4 Co 2.71-2.87, 2 Ag 2.95-3.03
Te 0.5069 0.5024 0.7513  4 Co 2.71-2.87, 2 Ag 2.95-3.03
Te 0.4931 0.4976 0.2487  4 Co 2.71-2.87, 2 Ag 2.95-3.03
Te 0.0069 0.5024 0.7487  4 Co 2.71-2.87, 2 Ag 2.95-3.03
Te 0.9931 0.4976 0.2513  4 Co 2.71-2.87, 2 Ag 2.95-3.03
Te 0.9931 0.0024 0.7513  4 Co 2.71-2.87, 2 Ag 2.95-3.03
Te 0.4931 0.0024 0.7487  4 Co 2.71-2.87, 2 Ag 2.95-3.03
Co 0.7625 0.1010 0.4917  1 O 1.85
Co 0.7375 0.6010 0.4917  1 O 1.85
Co 0.2375 0.8990 0.5083  1 O 1.85
Co 0.2625 0.3990 0.5083  1 O 1.85
Co 0.2625 0.1010 0.0083  1 O 1.85
Co 0.7375 0.8990 0.9917  1 O 1.85
Co 0.7625 0.3990 0.9917  1 O 1.85
Co 0.2375 0.6010 0.0083  1 O 1.85
O 0.2224 0.2475 0.9325  1 Co 1.85
O 0.7776 0.7475 0.5675  1 Co 1.85
O 0.7776 0.7525 0.0675  1 Co 1.85
O 0.7224 0.2525 0.0675  1 Co 1.85
O 0.7224 0.2475 0.5675  1 Co 1.85
O 0.2776 0.7525 0.4325  1 Co 1.85
O 0.2776 0.7475 0.9325  1 Co 1.85
O 0.2224 0.2525 0.4325  1 Co 1.85

Entry 7:
CoAgTeO: optimized geometry, GGA+U.

Output
Distance to the lowest polymorph of the same formula in meV/atom: 126
Symmetry: Cmc2_1

Cell: 7.2350 7.2350 6.6877 Å, 90.00 90.00 154.86°
Closest atoms and distances in Å follow each position.
Atoms (fractional coordinates):
Co 0.8282 0.1718 0.4743  2 O 1.93
Co 0.1718 0.8282 0.9743  2 O 1.93
Ag 0.4839 0.5161 0.8153  2 O 2.18-2.20
Ag 0.5161 0.4839 0.3153  2 O 2.18-2.20
Te 0.1678 0.8322 0.5640  3 Co 2.74-2.82
Te 0.8322 0.1678 0.0640  3 Co 2.74-2.82
O 0.5985 0.4015 0.0390  2 Co 1.93
O 0.4015 0.5985 0.5390  2 Co 1.93

Entry 8:
CoAgTeO: optimized geometry, GGA+U.

Output
Distance to the lowest polymorph of the same formula in meV/atom: 539
Symmetry: P4/nmm

Cell: 4.2619 4.2619 7.2967 Å, 90.00 90.00 90.00°
Closest atoms and distances in Å follow each position.
Atoms (fractional coordinates):
O 0.2500 0.2500 0.4383  1 Te 1.87
O 0.7500 0.7500 0.5617  1 Te 1.87
Co 0.2500 0.7500 0.0000  4 Te 2.51
Co 0.7500 0.2500 0.0000  4 Te 2.51
Te 0.7500 0.7500 0.8178  1 O 1.87
Te 0.2500 0.2500 0.1822  1 O 1.87
Ag 0.2500 0.2500 0.7350  1 O 2.16
Ag 0.7500 0.7500 0.2650  1 O 2.16

Entry 9:
CoAgTeO: optimized geometry, GGA+U.

Output
Distance to the lowest polymorph of the same formula in meV/atom: 417
Symmetry: P4/nmm

Cell: 4.0458 4.0458 8.2090 Å, 90.00 90.00 90.00°
Closest atoms and distances in Å follow each position.
Atoms (fractional coordinates):
O 0.2500 0.2500 0.5327  1 Te 1.89, 1 Co 1.90
O 0.7500 0.7500 0.4673  1 Te 1.89, 1 Co 1.90
Ag 0.7500 0.2500 0.0000  4 Co 2.80, 4 Ag 2.86
Ag 0.2500 0.7500 0.0000  4 Co 2.80, 4 Ag 2.86
Te 0.2500 0.2500 0.3021  1 O 1.89
Te 0.7500 0.7500 0.6979  1 O 1.89
Co 0.7500 0.7500 0.2355  1 O 1.90
Co 0.2500 0.2500 0.7645  1 O 1.90

Entry 10:
TlCoAgO3: optimized geometry, GGA+U.

Output
Symmetry: Pnma

Cell: 10.0581 3.1509 10.1204 Å, 90.00 90.00 90.00°
Closest atoms and distances in Å follow each position.
Atoms (fractional coordinates):
O 0.7914 0.5000 0.8739  2 Co 2.02
O 0.7400 0.0000 0.0996  1 Co 1.88
O 0.2086 0.0000 0.1261  2 Co 2.02
O 0.0406 0.0000 0.8984  1 Co 1.83
O 0.7086 0.5000 0.3739  2 Co 2.02
O 0.4594 0.0000 0.3984  1 Co 1.83
O 0.9594 0.5000 0.1016  1 Co 1.83
O 0.2600 0.5000 0.9004  1 Co 1.88
O 0.7600 0.0000 0.5996  1 Co 1.88
O 0.2400 0.5000 0.4004  1 Co 1.88
O 0.2914 0.0000 0.6261  2 Co 2.02
O 0.5406 0.5000 0.6016  1 Co 1.83
Co 0.3727 0.5000 0.5311  4 O 1.83-2.02
Co 0.8726 0.0000 0.9689  4 O 1.83-2.02
Co 0.6273 0.0000 0.4689  4 O 1.83-2.02
Co 0.1273 0.5000 0.0311  4 O 1.83-2.02
Tl 0.1275 0.5000 0.7246  3 O 2.22-2.49
Tl 0.6275 0.0000 0.7754  3 O 2.22-2.49
Tl 0.3725 0.5000 0.2246  3 O 2.22-2.49
Tl 0.8725 0.0000 0.2754  3 O 2.22-2.49
Ag 0.5937 0.5000 0.0591  2 O 2.19
Ag 0.0937 0.0000 0.4409  2 O 2.19
Ag 0.4063 0.0000 0.9409  2 O 2.19
Ag 0.9063 0.5000 0.5591  2 O 2.19

no.,uncorrected energy (eV/atom),density (g/cm3),total magnetic moment (Bohr magnetons per cell)
1,-3.59,6.5,0.13
2,-4.27,7.3,5.83
3,-4.23,6.8,9.51
4,-4.24,6.7,12.00
5,-3.95,6.2,6.09
6,-4.06,7.0,19.35
7,-4.24,6.9,5.39
8,-3.83,7.8,1.74
9,-3.95,7.7,3.22
10,-4.64,8.7,12.38